The following is a GGA-PBEsol calculation of a geometry-optimized LaY2 structure, from the Alexandria database.

Cell lengths 3.6140, 6.7374, 8.4647 Å; angles 103.33, 90.00, 105.56 degrees
Positions (direct):
Y: 0.7251 0.4501 0.9393
Y: 0.3337 0.6673 0.6650
Y: 0.0548 0.1095 0.6130
Y: 0.3858 0.7716 0.2786
La: 0.6649 0.3297 0.3337
La: 0.0025 0.0051 0.0039

Excess energy over the best structure of this formula in the dataset ... 10 meV per atom
Total magnetization ... 0.000 Bohr magnetons per cell
Energy ... -6.2971 eV/atom
DFT formation energy ... 0.03 eV/atom
Space-group type ... Cm